# 1
# Ac2Cu2Si3, relaxed, DFT PBE
data_Ac2Cu2Si3
_chemical_formula_sum 'Ac4 Cu4 Si6'
_space_group_name_H-M_alt 'C 1 2/m 1'
_space_group_IT_number 12
_space_group_name_Hall '-C 2y'
_cell_length_a 10.346
_cell_length_b 4.393
_cell_length_c 6.941
_cell_angle_alpha 90.00
_cell_angle_beta 107.88
_cell_angle_gamma 90.00
loop_
_atom_site_label
_atom_site_type_symbol
_atom_site_fract_x
_atom_site_fract_y
_atom_site_fract_z
Ac1 Ac 0.144 0.000 0.288
Cu1 Cu 0.173 0.000 0.847
Si1 Si 0.000 0.500 0.500
Si2 Si 0.089 0.500 0.921
# **E_form (uncorrected)**: -0.348 eV per atom

=====

# 2
# Ac2Cu6Si3, relaxed, DFT PBE
data_Ac2Cu6Si3
_chemical_formula_sum 'Ac2 Cu6 Si3'
_space_group_name_H-M_alt 'P -6 2 m'
_space_group_IT_number 189
_space_group_name_Hall 'P -6 -2'
_cell_length_a 7.5226
_cell_length_b 7.5226
_cell_length_c 4.1550
_cell_angle_alpha 90.00
_cell_angle_beta 90.00
_cell_angle_gamma 120.00
loop_
_atom_site_label
_atom_site_type_symbol
_atom_site_fract_x
_atom_site_fract_y
_atom_site_fract_z
Ac1 Ac 0.3333 0.6667 0.0000
Cu1 Cu 0.0000 0.2990 0.5000
Cu2 Cu 0.0000 0.8097 0.0000
Si1 Si 0.0000 0.6564 0.5000
# **E_form (uncorrected)**: -0.278 eV per atom

=====

# 3
# AcCu4Si2, relaxed, DFT PBE
data_AcCu4Si2
_chemical_formula_sum 'Ac2 Cu8 Si4'
_space_group_name_H-M_alt 'C m m m'
_space_group_IT_number 65
_space_group_name_Hall '-C 2 2'
_cell_length_a 4.247
_cell_length_b 12.805
_cell_length_c 4.267
_cell_angle_alpha 90.00
_cell_angle_beta 90.00
_cell_angle_gamma 90.00
loop_
_atom_site_label
_atom_site_type_symbol
_atom_site_fract_x
_atom_site_fract_y
_atom_site_fract_z
Ac1 Ac 0.000 0.000 0.000
Cu1 Cu 0.000 0.193 0.500
Cu2 Cu 0.000 0.309 0.000
Si1 Si 0.000 0.397 0.500
# **E_form (uncorrected)**: -0.323 eV per atom

=====

# 4
# AcSmCuSi, relaxed, DFT PBE
data_AcSmCuSi
_chemical_formula_sum 'Ac4 Sm4 Cu4 Si4'
_space_group_name_H-M_alt 'F -4 3 m'
_space_group_IT_number 216
_space_group_name_Hall 'F -4 2 3'
_cell_length_a 7.412
_cell_length_b 7.412
_cell_length_c 7.412
_cell_angle_alpha 90.00
_cell_angle_beta 90.00
_cell_angle_gamma 90.00
loop_
_atom_site_label
_atom_site_type_symbol
_atom_site_fract_x
_atom_site_fract_y
_atom_site_fract_z
Ac1 Ac 0.000 0.000 0.000
Sm1 Sm 0.000 0.000 0.500
Cu1 Cu 0.250 0.250 0.750
Si1 Si 0.250 0.250 0.250
# **E_form (uncorrected)**: -0.283 eV per atom

=====

# 5
# AcSm2Cu2Si2, relaxed, DFT PBE
data_AcSm2Cu2Si2
_chemical_formula_sum 'Ac3 Sm6 Cu6 Si6'
_space_group_name_H-M_alt 'R -3 m'
_space_group_IT_number 166
_space_group_name_Hall '-R 3 2"'
_cell_length_a 4.2990
_cell_length_b 4.2990
_cell_length_c 30.1936
_cell_angle_alpha 90.00
_cell_angle_beta 90.00
_cell_angle_gamma 120.00
loop_
_atom_site_label
_atom_site_type_symbol
_atom_site_fract_x
_atom_site_fract_y
_atom_site_fract_z
Ac1 Ac 0.0000 0.0000 0.0000
Sm1 Sm 0.0000 0.0000 0.1286
Cu1 Cu 0.0000 0.0000 0.4074
Si1 Si 0.0000 0.0000 0.2579
# **E_form (uncorrected)**: -0.448 eV per atom

=====

# 6
# Ac2Cu4SiSn3, relaxed, DFT PBE
data_Ac2Cu4SiSn3
_chemical_formula_sum 'Ac2 Cu4 Si1 Sn3'
_space_group_name_H-M_alt 'P -4 m 2'
_space_group_IT_number 115
_space_group_name_Hall 'P -4 -2'
_cell_length_a 4.539
_cell_length_b 4.539
_cell_length_c 10.591
_cell_angle_alpha 90.00
_cell_angle_beta 90.00
_cell_angle_gamma 90.00
loop_
_atom_site_label
_atom_site_type_symbol
_atom_site_fract_x
_atom_site_fract_y
_atom_site_fract_z
Ac1 Ac 0.000 0.500 0.248
Cu1 Cu 0.000 0.000 0.500
Cu2 Cu 0.000 0.500 0.880
Cu3 Cu 0.500 0.500 0.500
Si1 Si 0.500 0.500 0.000
Sn1 Sn 0.000 0.000 0.000
Sn2 Sn 0.000 0.500 0.630
# **E_form (uncorrected)**: -0.413 eV per atom

=====

# 7
# SrAcCuSi, relaxed, DFT PBE
data_SrAcCuSi
_chemical_formula_sum 'Sr4 Ac4 Cu4 Si4'
_space_group_name_H-M_alt 'F -4 3 m'
_space_group_IT_number 216
_space_group_name_Hall 'F -4 2 3'
_cell_length_a 7.622
_cell_length_b 7.622
_cell_length_c 7.622
_cell_angle_alpha 90.00
_cell_angle_beta 90.00
_cell_angle_gamma 90.00
loop_
_atom_site_label
_atom_site_type_symbol
_atom_site_fract_x
_atom_site_fract_y
_atom_site_fract_z
Sr1 Sr 0.000 0.000 0.000
Ac1 Ac 0.000 0.000 0.500
Cu1 Cu 0.250 0.250 0.750
Si1 Si 0.250 0.250 0.250
# **E_form (uncorrected)**: -0.248 eV per atom

=====

# 8
# SrAcCuSi, relaxed, DFT PBE
data_SrAcCuSi
_chemical_formula_sum 'Sr3 Ac3 Cu3 Si3'
_space_group_name_H-M_alt 'R 3 m'
_space_group_IT_number 160
_space_group_name_Hall 'R 3 -2"'
_cell_length_a 4.2603
_cell_length_b 4.2603
_cell_length_c 24.2736
_cell_angle_alpha 90.00
_cell_angle_beta 90.00
_cell_angle_gamma 120.00
loop_
_atom_site_label
_atom_site_type_symbol
_atom_site_fract_x
_atom_site_fract_y
_atom_site_fract_z
Sr1 Sr 0.0000 0.0000 0.0000
Ac1 Ac 0.0000 0.0000 0.8282
Cu1 Cu 0.0000 0.0000 0.5792
Si1 Si 0.0000 0.0000 0.2445
# **E_form (uncorrected)**: -0.328 eV per atom

=====

# 9
# AcTbCuSi, relaxed, DFT PBE
data_AcTbCuSi
_chemical_formula_sum 'Ac4 Tb4 Cu4 Si4'
_space_group_name_H-M_alt 'F -4 3 m'
_space_group_IT_number 216
_space_group_name_Hall 'F -4 2 3'
_cell_length_a 7.356
_cell_length_b 7.356
_cell_length_c 7.356
_cell_angle_alpha 90.00
_cell_angle_beta 90.00
_cell_angle_gamma 90.00
loop_
_atom_site_label
_atom_site_type_symbol
_atom_site_fract_x
_atom_site_fract_y
_atom_site_fract_z
Ac1 Ac 0.000 0.000 0.000
Tb1 Tb 0.000 0.000 0.500
Cu1 Cu 0.250 0.250 0.750
Si1 Si 0.250 0.250 0.250
# **E_form (uncorrected)**: -0.283 eV per atom

=====

# 10
# AcThCu4Si2, relaxed, DFT PBE
data_AcThCu4Si2
_chemical_formula_sum 'Ac1 Th1 Cu4 Si2'
_space_group_name_H-M_alt 'P 4/m m m'
_space_group_IT_number 123
_space_group_name_Hall '-P 4 2'
_cell_length_a 4.079
_cell_length_b 4.079
_cell_length_c 9.752
_cell_angle_alpha 90.00
_cell_angle_beta 90.00
_cell_angle_gamma 90.00
loop_
_atom_site_label
_atom_site_type_symbol
_atom_site_fract_x
_atom_site_fract_y
_atom_site_fract_z
Ac1 Ac 0.000 0.000 0.000
Th1 Th 0.000 0.000 0.500
Cu1 Cu 0.000 0.500 0.251
Si1 Si 0.500 0.500 0.372
# **E_form (uncorrected)**: -0.217 eV per atom

=====

# 11
# AcTmCuSi, relaxed, DFT PBE
data_AcTmCuSi
_chemical_formula_sum 'Ac4 Tm4 Cu4 Si4'
_space_group_name_H-M_alt 'F -4 3 m'
_space_group_IT_number 216
_space_group_name_Hall 'F -4 2 3'
_cell_length_a 7.298
_cell_length_b 7.298
_cell_length_c 7.298
_cell_angle_alpha 90.00
_cell_angle_beta 90.00
_cell_angle_gamma 90.00
loop_
_atom_site_label
_atom_site_type_symbol
_atom_site_fract_x
_atom_site_fract_y
_atom_site_fract_z
Ac1 Ac 0.000 0.000 0.000
Tm1 Tm 0.000 0.000 0.500
Cu1 Cu 0.250 0.250 0.250
Si1 Si 0.250 0.250 0.750
# **E_form (uncorrected)**: -0.271 eV per atom

=====

# 12
# AcYCu2Si2, relaxed, DFT PBE
data_AcYCu2Si2
_chemical_formula_sum 'Ac1 Y1 Cu2 Si2'
_space_group_name_H-M_alt 'P -3 m 1'
_space_group_IT_number 164
_space_group_name_Hall '-P 3 2"'
_cell_length_a 4.2423
_cell_length_b 4.2423
_cell_length_c 8.0392
_cell_angle_alpha 90.00
_cell_angle_beta 90.00
_cell_angle_gamma 120.00
loop_
_atom_site_label
_atom_site_type_symbol
_atom_site_fract_x
_atom_site_fract_y
_atom_site_fract_z
Ac1 Ac 0.0000 0.0000 0.0000
Y1 Y 0.0000 0.0000 0.5000
Cu1 Cu 0.3333 0.6667 0.7163
Si1 Si 0.3333 0.6667 0.2753
# **E_form (uncorrected)**: -0.611 eV per atom

=====

# 13
# AcYCuSi, relaxed, DFT PBE
data_AcYCuSi
_chemical_formula_sum 'Ac4 Y4 Cu4 Si4'
_space_group_name_H-M_alt 'F -4 3 m'
_space_group_IT_number 216
_space_group_name_Hall 'F -4 2 3'
_cell_length_a 7.353
_cell_length_b 7.353
_cell_length_c 7.353
_cell_angle_alpha 90.00
_cell_angle_beta 90.00
_cell_angle_gamma 90.00
loop_
_atom_site_label
_atom_site_type_symbol
_atom_site_fract_x
_atom_site_fract_y
_atom_site_fract_z
Ac1 Ac 0.000 0.000 0.000
Y1 Y 0.000 0.000 0.500
Cu1 Cu 0.250 0.250 0.750
Si1 Si 0.250 0.250 0.250
# **E_form (uncorrected)**: -0.291 eV per atom

=====

# 14
# AcZnCu2Si2, relaxed, DFT PBE
data_AcZnCu2Si2
_chemical_formula_sum 'Ac1 Zn1 Cu2 Si2'
_space_group_name_H-M_alt 'P -3 m 1'
_space_group_IT_number 164
_space_group_name_Hall '-P 3 2"'
_cell_length_a 4.1349
_cell_length_b 4.1349
_cell_length_c 7.3252
_cell_angle_alpha 90.00
_cell_angle_beta 90.00
_cell_angle_gamma 120.00
loop_
_atom_site_label
_atom_site_type_symbol
_atom_site_fract_x
_atom_site_fract_y
_atom_site_fract_z
Ac1 Ac 0.0000 0.0000 0.0000
Zn1 Zn 0.0000 0.0000 0.5000
Cu1 Cu 0.3333 0.6667 0.3501
Si1 Si 0.3333 0.6667 0.7109
# **E_form (uncorrected)**: -0.309 eV per atom

=====

# 15
# AcZnCuSi2, relaxed, DFT PBE
data_AcZnCuSi2
_chemical_formula_sum 'Ac2 Zn2 Cu2 Si4'
_space_group_name_H-M_alt 'I -4 m 2'
_space_group_IT_number 119
_space_group_name_Hall 'I -4 -2'
_cell_length_a 4.345
_cell_length_b 4.345
_cell_length_c 10.059
_cell_angle_alpha 90.00
_cell_angle_beta 90.00
_cell_angle_gamma 90.00
loop_
_atom_site_label
_atom_site_type_symbol
_atom_site_fract_x
_atom_site_fract_y
_atom_site_fract_z
Ac1 Ac 0.000 0.000 0.000
Zn1 Zn 0.000 0.500 0.750
Cu1 Cu 0.000 0.500 0.250
Si1 Si 0.000 0.000 0.379
# **E_form (uncorrected)**: -0.451 eV per atom

=====

# 16
# Ac2ZnCu3Si4, relaxed, DFT PBE
data_Ac2ZnCu3Si4
_chemical_formula_sum 'Ac2 Zn1 Cu3 Si4'
_space_group_name_H-M_alt 'P -4 m 2'
_space_group_IT_number 115
_space_group_name_Hall 'P -4 -2'
_cell_length_a 4.289
_cell_length_b 4.289
_cell_length_c 10.138
_cell_angle_alpha 90.00
_cell_angle_beta 90.00
_cell_angle_gamma 90.00
loop_
_atom_site_label
_atom_site_type_symbol
_atom_site_fract_x
_atom_site_fract_y
_atom_site_fract_z
Ac1 Ac 0.000 0.500 0.248
Zn1 Zn 0.000 0.000 0.500
Cu1 Cu 0.000 0.500 0.880
Cu2 Cu 0.500 0.500 0.500
Si1 Si 0.000 0.000 0.000
Si2 Si 0.000 0.500 0.633
Si3 Si 0.500 0.500 0.000
# **E_form (uncorrected)**: -0.459 eV per atom

=====

# 17
# AcSm2Cu, relaxed, DFT PBE
data_AcSm2Cu
_chemical_formula_sum 'Ac1 Sm2 Cu1'
_space_group_name_H-M_alt 'P 4/m m m'
_space_group_IT_number 123
_space_group_name_Hall '-P 4 2'
_cell_length_a 3.671
_cell_length_b 3.671
_cell_length_c 9.028
_cell_angle_alpha 90.00
_cell_angle_beta 90.00
_cell_angle_gamma 90.00
loop_
_atom_site_label
_atom_site_type_symbol
_atom_site_fract_x
_atom_site_fract_y
_atom_site_fract_z
Ac1 Ac 0.000 0.000 0.000
Sm1 Sm 0.500 0.500 0.315
Cu1 Cu 0.000 0.000 0.500
# **Formation energy**: -43 meV/atom

=====

# 18
# AcSm2Cu, relaxed, DFT PBE
data_AcSm2Cu
_chemical_formula_sum 'Ac3 Sm6 Cu3'
_space_group_name_H-M_alt 'R 3 m'
_space_group_IT_number 160
_space_group_name_Hall 'R 3 -2"'
_cell_length_a 3.9650
_cell_length_b 3.9650
_cell_length_c 28.8800
_cell_angle_alpha 90.00
_cell_angle_beta 90.00
_cell_angle_gamma 120.00
loop_
_atom_site_label
_atom_site_type_symbol
_atom_site_fract_x
_atom_site_fract_y
_atom_site_fract_z
Ac1 Ac 0.0000 0.0000 0.0000
Sm1 Sm 0.0000 0.0000 0.2290
Sm2 Sm 0.0000 0.0000 0.4407
Cu1 Cu 0.0000 0.0000 0.8357
# **Formation energy**: 63 meV/atom

=====

# 19
# AcSm2Cu, relaxed, DFT PBE
data_AcSm2Cu
_chemical_formula_sum 'Ac3 Sm6 Cu3'
_space_group_name_H-M_alt 'R -3 m'
_space_group_IT_number 166
_space_group_name_Hall '-R 3 2"'
_cell_length_a 3.8210
_cell_length_b 3.8210
_cell_length_c 30.4343
_cell_angle_alpha 90.00
_cell_angle_beta 90.00
_cell_angle_gamma 120.00
loop_
_atom_site_label
_atom_site_type_symbol
_atom_site_fract_x
_atom_site_fract_y
_atom_site_fract_z
Ac1 Ac 0.0000 0.0000 0.0000
Sm1 Sm 0.0000 0.0000 0.2300
Cu1 Cu 0.0000 0.0000 0.5000
# **Formation energy**: 63 meV/atom

=====

# 20
# AcSmCu4, relaxed, DFT PBE
data_AcSmCu4
_chemical_formula_sum 'Ac4 Sm4 Cu16'
_space_group_name_H-M_alt 'F -4 3 m'
_space_group_IT_number 216
_space_group_name_Hall 'F -4 2 3'
_cell_length_a 7.723
_cell_length_b 7.723
_cell_length_c 7.723
_cell_angle_alpha 90.00
_cell_angle_beta 90.00
_cell_angle_gamma 90.00
loop_
_atom_site_label
_atom_site_type_symbol
_atom_site_fract_x
_atom_site_fract_y
_atom_site_fract_z
Ac1 Ac 0.000 0.000 0.000
Sm1 Sm 0.250 0.250 0.750
Cu1 Cu 0.123 0.123 0.377
# **Formation energy**: -19 meV/atom